[1]
NiMoNF2 | PBEsol | optimized geometry

```
NiMoNF2
1.0
3.636 0.000 0.000
0.000 3.636 0.000
0.000 0.000 4.100
F Mo N Ni
2 1 1 1
direct
0.000 0.500 0.000
0.500 0.000 0.000
0.500 0.500 0.500
0.000 0.000 0.500
0.000 0.000 0.000
```

Properties
Calculated density = 6.331 g/cm³
Energy = -30.1 eV for the cell shown
Energy relative to the elements, uncorrected = 0.04 eV/atom
Space-group type = P4/mmm


[2]
La2Os | PBEsol | optimized geometry

```
La2Os
1.0
7.030 0.000 0.000
0.000 7.030 0.000
0.000 0.000 7.030
La Os
8 4
direct
0.181 0.819 0.319
0.181 0.681 0.819
0.319 0.319 0.319
0.319 0.181 0.819
0.681 0.819 0.181
0.681 0.681 0.681
0.819 0.319 0.181
0.819 0.181 0.681
0.000 0.500 0.500
0.500 0.000 0.500
0.000 0.000 0.000
0.500 0.500 0.000
```

Properties
Calculated density = 8.946 g/cm³
Energy = -91.9 eV for the cell shown
Space-group type = Pa-3
Formation energy from the elements = -0.018 eV per atom


[3]
Sb2Pb | PBEsol | optimized geometry

```
Sb2Pb
1.0
-1.354 -3.396 2.120
2.915 2.536 1.712
-4.197 3.187 2.425
Pb Sb
1 2
direct
0.000 0.000 0.000
0.333 0.667 0.348
0.667 0.333 0.652
```

Properties
ΔE to the lowest computed polymorph = 0.000 eV per atom
Calculated density = 8.342 g/cm³
Energy = -12.9 eV for the cell shown
Energy relative to the elements, uncorrected = 0.07 eV/atom
Space-group type = P-3m1


[4]
TlPtAuO2 | PBEsol | optimized geometry

```
TlPtAuO2
1.0
3.811 0.000 0.000
0.000 3.811 0.000
0.000 0.000 6.194
Tl Pt Au O
1 1 1 2
direct
0.000 0.000 0.500
0.000 0.000 0.000
0.500 0.500 0.500
0.500 0.000 0.000
0.000 0.500 0.000
```

Properties
Calculated density = 11.602 g/cm³
Energy = -23.7 eV for the cell shown
Energy relative to the elements, uncorrected = 0.07 eV/atom
Space-group type = P4/mmm


[5]
CsBiSbF2 | PBEsol | optimized geometry

```
CsBiSbF2
1.0
4.921 0.000 0.000
0.000 4.921 0.000
0.000 0.000 5.677
Bi F Sb Cs
1 2 1 1
direct
0.000 0.000 0.500
0.000 0.500 0.000
0.500 0.000 0.000
0.000 0.000 0.000
0.500 0.500 0.500
```

Properties
Calculated density = 6.060 g/cm³
Energy = -19.1 eV for the cell shown
Energy relative to the elements, uncorrected = -1.10 eV/atom
Space-group type = P4/mmm


[6]
KCo3 | PBEsol | optimized geometry

```
KCo3
1.0
2.604 0.000 0.000
0.000 3.338 0.000
0.000 0.000 7.452
Co K
3 1
direct
0.500 0.500 0.652
0.500 0.500 0.348
0.000 0.000 0.500
0.000 0.000 0.000
```

Properties
ΔE to the lowest computed polymorph = 0.000 eV per atom
Calculated density = 5.536 g/cm³
Energy = -21.5 eV for the cell shown
Space-group type = Pmmm
Formation energy from the elements = 0.714 eV per atom


[7]
La3SbTe | PBEsol | optimized geometry

```
La3SbTe
1.0
5.825 0.000 0.000
0.000 5.825 0.000
0.000 0.000 5.825
La Sb Te
3 1 1
direct
0.000 0.500 0.000
0.000 0.000 0.500
0.500 0.000 0.000
0.500 0.500 0.500
0.000 0.000 0.000
```

Properties
Calculated density = 5.598 g/cm³
Energy = -25.9 eV for the cell shown
Energy relative to the elements, uncorrected = -0.35 eV/atom
Space-group type = Pm-3m


[8]
GaReS3 | PBEsol | optimized geometry

```
GaReS3
1.0
4.627 0.000 0.000
0.000 4.627 0.000
0.000 0.000 4.627
Re S Ga
1 3 1
direct
0.000 0.000 0.000
0.000 0.500 0.000
0.500 0.000 0.000
0.000 0.000 0.500
0.500 0.500 0.500
```

Properties
Calculated density = 5.904 g/cm³
Energy = -29.2 eV for the cell shown
Energy relative to the elements, uncorrected = 0.13 eV/atom
Space-group type = Pm-3m


[9]
Ru3CO | PBEsol | optimized geometry

```
Ru3CO
1.0
3.921 0.000 0.000
0.000 3.921 0.000
0.000 0.000 3.921
Ru O C
3 1 1
direct
0.500 0.000 0.000
0.000 0.000 0.500
0.000 0.500 0.000
0.000 0.000 0.000
0.500 0.500 0.500
```

Properties
Calculated density = 9.123 g/cm³
Energy = -38.0 eV for the cell shown
Energy relative to the elements, uncorrected = 1.48 eV/atom
Space-group type = Pm-3m


[10]
K2TaS2 | PBEsol | optimized geometry

```
K2TaS2
1.0
3.540 0.000 0.000
0.000 3.540 0.000
-1.770 -1.770 7.395
K S Ta
2 2 1
direct
0.250 0.750 0.500
0.750 0.250 0.500
0.591 0.591 0.182
0.409 0.409 0.818
0.000 0.000 0.000
```

Properties
Calculated density = 5.792 g/cm³
Energy = -22.4 eV for the cell shown
Energy relative to the elements, uncorrected = 0.23 eV/atom
Space-group type = I4/mmm


[11]
LiPRh | PBEsol | optimized geometry

```
LiPRh
1.0
3.611 0.000 0.000
-1.806 3.128 0.000
0.000 0.000 4.389
Li Rh P
1 1 1
direct
0.000 0.000 0.954
0.333 0.667 0.442
0.667 0.333 0.604
```

Properties
Calculated density = 4.717 g/cm³
Energy = -17.2 eV for the cell shown
Space-group type = P3m1
Formation energy from the elements = -0.422 eV per atom


[12]
MgRe2Mo | PBEsol | optimized geometry

```
MgRe2Mo
1.0
2.725 0.000 0.000
0.000 4.185 0.000
0.000 0.000 5.317
Re Mg Mo
2 1 1
direct
0.500 0.500 0.242
0.000 0.000 0.007
0.000 0.000 0.501
0.500 0.500 0.751
```

Properties
Calculated density = 13.494 g/cm³
Energy = -38.8 eV for the cell shown
Space-group type = Pmm2
Formation energy from the elements = 0.343 eV per atom


[13]
TlW2Au | PBEsol | optimized geometry

```
TlW2Au
1.0
2.828 0.000 0.000
0.000 2.828 0.000
0.000 0.000 8.625
Tl Au W
1 1 2
direct
0.500 0.500 0.500
0.500 0.500 0.000
0.000 0.000 0.236
0.000 0.000 0.764
```

Properties
ΔE to the lowest computed polymorph = 0.081 eV per atom
Calculated density = 18.516 g/cm³
Energy = -30.8 eV for the cell shown
Space-group type = P4/mmm
Formation energy from the elements = 0.838 eV per atom


[14]
SrMo2Os | PBEsol | optimized geometry

```
SrMo2Os
1.0
-2.745 -1.103 -0.360
1.642 -3.002 -3.331
0.870 -3.267 3.373
Sr Os Mo
1 1 2
direct
0.500 0.000 0.000
0.500 0.500 0.500
0.000 0.500 0.000
0.000 0.000 0.500
```

Properties
ΔE to the lowest computed polymorph = 0.026 eV per atom
Calculated density = 11.475 g/cm³
Energy = -32.9 eV for the cell shown
Space-group type = P4/mmm
Formation energy from the elements = 1.161 eV per atom


[15]
Zr2TlCd | PBEsol | optimized geometry

```
Zr2TlCd
1.0
3.279 0.000 0.000
0.000 5.160 -0.027
-1.639 -2.519 5.109
Tl Zr Cd
1 2 1
direct
0.242 0.739 0.484
0.001 0.004 0.002
0.752 0.249 0.504
0.505 0.508 0.009
```

Properties
Calculated density = 9.617 g/cm³
Energy = -22.4 eV for the cell shown
Space-group type = Cm
Formation energy from the elements = -0.101 eV per atom


[16]
K3TaCd | PBEsol | optimized geometry

```
K3TaCd
1.0
-0.720 -5.516 2.877
4.737 -2.364 -3.347
4.034 1.791 4.444
K Ta Cd
3 1 1
direct
0.000 0.500 0.000
0.500 0.000 0.000
0.000 0.000 0.500
0.500 0.500 0.500
0.000 0.000 0.000
```

Properties
Calculated density = 2.776 g/cm³
Energy = -9.6 eV for the cell shown
Space-group type = Pm-3m
Formation energy from the elements = 1.516 eV per atom


[17]
LaAgIr3 | PBEsol | optimized geometry

```
LaAgIr3
1.0
-0.848 4.315 -1.850
-3.628 0.591 3.041
2.979 1.947 3.176
La Ir Ag
1 3 1
direct
0.500 0.500 0.500
0.000 0.000 0.500
0.000 0.500 0.000
0.500 0.000 0.000
0.000 0.000 0.000
```

Properties
Calculated density = 12.595 g/cm³
Energy = -31.6 eV for the cell shown
Space-group type = Pm-3m
Formation energy from the elements = 1.296 eV per atom


[18]
CoRe2Cl | PBEsol | optimized geometry

```
CoRe2Cl
1.0
-1.438 -2.286 0.190
-0.063 -0.185 -2.701
6.272 -3.935 0.123
Re Co Cl
2 1 1
direct
0.000 0.000 0.271
0.000 0.000 0.729
0.500 0.500 0.500
0.500 0.500 0.000
```

Properties
ΔE to the lowest computed polymorph = 0.209 eV per atom
Calculated density = 14.275 g/cm³
Energy = -33.3 eV for the cell shown
Energy relative to the elements, uncorrected = 0.79 eV/atom
Space-group type = P4/mmm


[19]
Tl7Au | PBEsol | optimized geometry

```
Tl7Au
1.0
6.677 0.000 0.000
3.338 5.782 0.000
3.338 1.927 5.452
Tl Au
7 1
direct
0.500 0.000 0.000
0.000 0.500 0.500
0.500 0.500 0.000
0.500 0.500 0.500
0.500 0.000 0.500
0.000 0.000 0.500
0.000 0.500 0.000
0.000 0.000 0.000
```

Properties
Calculated density = 12.842 g/cm³
Energy = -21.8 eV for the cell shown
Space-group type = Fm-3m
Formation energy from the elements = 0.066 eV per atom


[20]
TiBe2Mo2 | PBEsol | optimized geometry

```
TiBe2Mo2
1.0
-0.295 -3.159 -0.376
4.215 0.148 -4.548
4.514 -0.916 4.154
Mo Be Ti
4 4 2
direct
0.500 0.323 0.177
0.500 0.823 0.323
0.500 0.177 0.677
0.500 0.677 0.823
0.000 0.616 0.116
0.000 0.384 0.884
0.000 0.116 0.384
0.000 0.884 0.616
0.000 0.000 0.000
0.000 0.500 0.500
```

Properties
Calculated density = 6.965 g/cm³
Energy = -81.6 eV for the cell shown
Space-group type = P4/mbm
Formation energy from the elements = -0.191 eV per atom


Result set for size of the total moment: 3.2; 0.0; 0.0; 0.0; 0.0; 4.8; 0.0; 0.0; 0.0; 0.0; 0.0; 0.0; 0.0; 0.0; 0.0; 4.6; 0.0; 1.0; 0.0; 0.0 μB per formula unit, one per record in the order listed.